Version 1
InSnAu6 | PBE | relaxed

Space-group type: P4/mmm, No. 123
N(E_F) in states/eV/atom: 0.227
Density in g/cm³: 15.26

Cell lengths 4.279, 4.279, 8.411 Å; angles 90.00, 90.00, 90.00 degrees
Sites, in units of the cell vectors:
In 0.000 0.000 0.000
Sn 0.000 0.000 0.500
Au 0.000 0.500 0.247
Au 0.000 0.500 0.753
Au 0.500 0.000 0.247
Au 0.500 0.000 0.753
Au 0.500 0.500 0.000
Au 0.500 0.500 0.500

Version 2
InSnAu6 | PBE | relaxed

Space-group type: C2/m, No. 12
N(E_F) in states/eV/atom: 0.237
Density in g/cm³: 14.92

Cell lengths 7.377, 7.411, 6.835 Å; angles 90.00, 122.55, 90.00 degrees
Sites, in units of the cell vectors:
In 0.000 0.000 0.000
In 0.500 0.500 0.000
Sn 0.000 0.500 0.000
Sn 0.500 0.000 0.000
Au 0.122 0.252 0.746
Au 0.122 0.748 0.746
Au 0.245 0.000 0.495
Au 0.255 0.500 0.505
Au 0.378 0.248 0.254
Au 0.378 0.752 0.254
Au 0.622 0.248 0.746
Au 0.622 0.752 0.746
Au 0.745 0.500 0.495
Au 0.755 0.000 0.505
Au 0.878 0.252 0.254
Au 0.878 0.748 0.254

Q: Which of them is the most stable? A: version 2.

Version 1
In3SnAu4 | PBE | relaxed

Space-group type: Pmm2, No. 25
N(E_F) in states/eV/atom: 0.315
Density in g/cm³: 11.85

Cell lengths 3.746, 4.369, 10.712 Å; angles 90.00, 90.00, 90.00 degrees
Sites, in units of the cell vectors:
In 0.000 0.000 0.000
In 0.000 0.500 0.285
In 0.500 0.500 0.790
Sn 0.500 0.000 0.499
Au 0.000 0.000 0.736
Au 0.000 0.500 0.552
Au 0.500 0.000 0.235
Au 0.500 0.500 0.054

Version 2
In3SnAu4 | PBE | relaxed

Space-group type: I4/mmm, No. 139
N(E_F) in states/eV/atom: 0.337
Density in g/cm³: 10.95

Cell lengths 5.748, 5.748, 11.481 Å; angles 90.00, 90.00, 90.00 degrees
Sites, in units of the cell vectors:
In 0.000 0.000 0.000
In 0.000 0.500 0.250
In 0.000 0.500 0.750
In 0.500 0.000 0.250
In 0.500 0.000 0.750
In 0.500 0.500 0.500
Sn 0.000 0.000 0.500
Sn 0.500 0.500 0.000
Au 0.000 0.000 0.250
Au 0.000 0.000 0.750
Au 0.000 0.500 0.000
Au 0.000 0.500 0.500
Au 0.500 0.000 0.000
Au 0.500 0.000 0.500
Au 0.500 0.500 0.250
Au 0.500 0.500 0.750

Q: Which of them is the most stable? A: version 1.